*P*
PBE Pm2CoAs, optimized geometry; size of the total moment = 0.00 μB/cell
1.0
0.000 3.553 3.553
3.553 0.000 3.553
3.553 3.553 0.000
Pm Co As
2 1 1
direct
0.250 0.250 0.250
0.750 0.750 0.750
0.000 0.000 0.000
0.500 0.500 0.500

=====

*Q*
PBE Pm2CoAs, optimized geometry; size of the total moment = 0.10 μB/cell
1.0
2.056 1.187 6.814
-2.056 1.187 6.814
0.000 -2.374 6.814
Pm Co As
2 1 1
direct
0.247 0.247 0.247
0.753 0.753 0.753
0.500 0.500 0.500
0.000 0.000 0.000

=====

Most stable = *Q*

=====

*P*
PBE PrCo3As3, optimized geometry; size of the total moment = 0.00 μB/cell
1.0
6.379 0.000 0.000
0.000 6.379 0.000
0.000 0.000 6.379
Pr Co As
2 6 6
direct
0.000 0.000 0.000
0.500 0.500 0.500
0.000 0.250 0.500
0.000 0.750 0.500
0.250 0.500 0.000
0.500 0.000 0.250
0.500 0.000 0.750
0.750 0.500 0.000
0.000 0.500 0.250
0.000 0.500 0.750
0.250 0.000 0.500
0.500 0.250 0.000
0.500 0.750 0.000
0.750 0.000 0.500

=====

*Q*
PBE PrCo3As3, optimized geometry; size of the total moment = 0.00 μB/cell
1.0
3.336 1.926 6.822
-3.336 1.926 6.822
0.000 -3.852 6.822
Pr Co As
2 6 6
direct
0.167 0.167 0.167
0.833 0.833 0.833
0.023 0.723 0.377
0.277 0.623 0.977
0.377 0.023 0.723
0.623 0.977 0.277
0.723 0.377 0.023
0.977 0.277 0.623
0.098 0.402 0.715
0.285 0.902 0.598
0.402 0.715 0.098
0.598 0.285 0.902
0.715 0.098 0.402
0.902 0.598 0.285

=====

Most stable = *Q*

=====

*P*
PBE RbCoAs2Se, optimized geometry; size of the total moment = 2.63 μB/cell
1.0
5.512 0.000 0.000
0.000 5.512 0.000
0.000 0.000 5.644
Rb Co As Se
1 1 2 1
direct
0.000 0.000 0.000
0.500 0.500 0.500
0.000 0.500 0.000
0.500 0.000 0.000
0.000 0.000 0.500

=====

*Q*
PBE RbCoAs2Se, optimized geometry; size of the total moment = 0.00 μB/cell
1.0
4.583 0.000 0.000
0.000 4.583 0.000
0.000 0.000 5.597
Rb Co As Se
1 1 2 1
direct
0.000 0.000 0.000
0.500 0.500 0.500
0.000 0.500 0.500
0.500 0.000 0.500
0.500 0.500 0.000

=====

Most stable = *Q*

=====

*P*
PBE CoReAs, optimized geometry; size of the total moment = 1.49 μB/cell
1.0
0.000 2.891 2.891
2.891 0.000 2.891
2.891 2.891 0.000
Co Re As
1 1 1
direct
0.000 0.000 0.000
0.750 0.750 0.750
0.500 0.500 0.500

=====

*Q*
PBE CoReAs, optimized geometry; size of the total moment = 0.86 μB/cell
1.0
-1.435 1.873 3.827
1.435 -1.873 3.827
1.435 1.873 -3.827
Co Re As
1 1 1
direct
0.000 0.000 0.000
0.651 0.651 0.000
0.322 0.322 0.000

=====

*R*
PBE CoReAs, optimized geometry; size of the total moment = 1.04 μB/cell
1.0
-1.496 1.496 4.539
1.496 -1.496 4.539
1.496 1.496 -4.539
Co Re As
1 1 1
direct
0.000 0.000 0.000
0.321 0.321 0.000
0.655 0.655 0.000

=====

Most stable = *R*

=====

*P*
PBE Co3AsRh, optimized geometry; size of the total moment = 7.15 μB/cell
1.0
4.524 0.000 0.000
0.000 4.524 0.000
0.000 0.000 4.524
Co As Rh
3 1 1
direct
0.000 0.000 0.500
0.000 0.500 0.000
0.500 0.000 0.000
0.500 0.500 0.500
0.000 0.000 0.000

=====

*Q*
PBE Co3AsRh, optimized geometry; size of the total moment = 5.34 μB/cell
1.0
4.272 0.000 0.000
0.000 4.272 0.000
0.000 0.000 4.272
Co As Rh
3 1 1
direct
0.000 0.000 0.500
0.000 0.500 0.000
0.500 0.000 0.000
0.000 0.000 0.000
0.500 0.500 0.500

=====

Most stable = *Q*

=====

*P*
PBE CoAsRu, optimized geometry; size of the total moment = 0.51 μB/cell
1.0
0.000 2.796 2.796
2.796 0.000 2.796
2.796 2.796 0.000
Co As Ru
1 1 1
direct
0.000 0.000 0.000
0.750 0.750 0.750
0.500 0.500 0.500

=====

*Q*
PBE CoAsRu, optimized geometry; size of the total moment = 3.35 μB/cell
1.0
3.674 0.000 0.000
0.000 3.674 0.000
0.000 0.000 5.958
Co As Ru
2 2 2
direct
0.250 0.750 0.000
0.750 0.250 0.000
0.250 0.250 0.248
0.750 0.750 0.752
0.250 0.250 0.649
0.750 0.750 0.351

=====

Most stable = *Q*

=====

*P*
PBE CoAsRu, optimized geometry; size of the total moment = 1.08 μB/cell
1.0
4.009 0.000 0.000
-2.005 3.472 0.000
0.000 0.000 2.874
Co As Ru
1 1 1
direct
0.000 0.000 0.000
0.667 0.333 0.844
0.333 0.667 0.497

=====

*Q*
PBE CoAsRu, optimized geometry; size of the total moment = 1.90 μB/cell
1.0
-1.494 1.494 4.509
1.494 -1.494 4.509
1.494 1.494 -4.509
Co As Ru
1 1 1
direct
0.000 0.000 0.000
0.652 0.652 0.000
0.311 0.311 0.000

=====

*R*
PBE CoAsRu, optimized geometry; size of the total moment = 2.28 μB/cell
1.0
-1.458 1.855 3.775
1.458 -1.855 3.775
1.458 1.855 -3.775
Co As Ru
1 1 1
direct
0.000 0.000 0.000
0.677 0.677 0.000
0.344 0.344 0.000

=====

*S*
PBE CoAsRu, optimized geometry; size of the total moment = 1.94 μB/cell
1.0
0.000 2.410 6.020
1.462 0.000 6.020
1.462 2.410 0.000
Co As Ru
1 1 1
direct
0.000 0.000 0.000
0.658 0.658 0.342
0.327 0.327 0.673

=====

Most stable = *P*

=====

*P*
PBE CoAsS, optimized geometry; size of the total moment = 0.00 μB/cell
1.0
5.582 0.000 0.000
0.000 5.587 0.000
0.000 0.000 5.577
Co As S
4 4 4
direct
0.007 0.239 0.000
0.493 0.239 0.500
0.507 0.761 0.000
0.993 0.761 0.500
0.121 0.629 0.882
0.379 0.629 0.382
0.621 0.371 0.882
0.879 0.371 0.382
0.119 0.129 0.622
0.381 0.129 0.122
0.619 0.871 0.622
0.881 0.871 0.122

=====

*Q*
PBE CoAsS, optimized geometry; size of the total moment = 0.00 μB/cell
1.0
4.813 0.000 0.000
0.000 3.369 0.000
-0.443 0.000 5.622
Co As S
2 2 2
direct
0.000 0.000 0.000
0.500 0.500 0.500
0.208 0.000 0.637
0.792 0.000 0.363
0.276 0.500 0.140
0.724 0.500 0.860

=====

Most stable = *P*

=====

*P*
PBE CoAsS, optimized geometry; size of the total moment = 0.00 μB/cell
1.0
4.847 0.000 0.000
0.000 6.343 0.000
0.000 0.000 7.158
Co As S
4 4 4
direct
0.017 0.054 0.000
0.483 0.054 0.500
0.517 0.946 0.000
0.983 0.946 0.500
0.184 0.207 0.283
0.316 0.207 0.783
0.684 0.793 0.283
0.816 0.793 0.783
0.178 0.730 0.003
0.322 0.730 0.503
0.678 0.270 0.003
0.822 0.270 0.503

=====

*Q*
PBE CoAsS, optimized geometry; size of the total moment = 0.00 μB/cell
1.0
3.489 0.000 0.000
0.000 4.603 0.000
0.000 0.000 5.573
Co As S
2 2 2
direct
0.000 0.236 0.000
0.500 0.764 0.500
0.000 0.460 0.375
0.500 0.540 0.875
0.000 0.049 0.628
0.500 0.951 0.128

=====

*R*
PBE CoAsS, optimized geometry; size of the total moment = 0.00 μB/cell
1.0
5.577 0.000 0.000
0.000 5.610 0.000
-0.244 0.000 5.610
Co As S
4 4 4
direct
0.000 0.000 0.000
0.000 0.500 0.500
0.500 0.000 0.500
0.500 0.500 0.000
0.123 0.124 0.628
0.123 0.376 0.128
0.877 0.624 0.872
0.877 0.876 0.372
0.374 0.618 0.614
0.374 0.882 0.114
0.626 0.118 0.886
0.626 0.382 0.386

=====

Most stable = *Q*

=====

*P*
PBE CoAs3S, optimized geometry; size of the total moment = 0.00 μB/cell
1.0
4.566 0.000 0.000
0.000 4.566 0.000
0.000 0.000 4.566
Co As S
1 3 1
direct
0.000 0.000 0.000
0.000 0.000 0.500
0.000 0.500 0.000
0.500 0.000 0.000
0.500 0.500 0.500

=====

*Q*
PBE CoAs3S, optimized geometry; size of the total moment = 1.45 μB/cell
1.0
4.725 0.000 0.000
0.000 4.725 0.000
0.000 0.000 4.725
Co As S
1 3 1
direct
0.000 0.000 0.000
0.000 0.500 0.500
0.500 0.000 0.500
0.500 0.500 0.000
0.500 0.500 0.500

=====

Most stable = *P*

=====

*P*
PBE CoAsSe2S, optimized geometry; size of the total moment = 2.54 μB/cell
1.0
4.780 0.000 0.000
0.000 4.780 0.000
0.000 0.000 4.810
Co As Se S
1 1 2 1
direct
0.000 0.000 0.000
0.500 0.500 0.000
0.000 0.500 0.500
0.500 0.000 0.500
0.500 0.500 0.500

=====

*Q*
PBE CoAsSe2S, optimized geometry; size of the total moment = 0.00 μB/cell
1.0
4.659 0.000 0.000
0.000 4.659 0.000
0.000 0.000 4.519
Co As Se S
1 1 2 1
direct
0.000 0.000 0.000
0.000 0.000 0.500
0.000 0.500 0.000
0.500 0.000 0.000
0.500 0.500 0.500

=====

Most stable = *Q*

=====

*P*
PBE CoSb2TeAs, optimized geometry; size of the total moment = 2.01 μB/cell
1.0
5.275 0.000 0.000
0.000 5.275 0.000
0.000 0.000 5.473
Co Sb Te As
1 2 1 1
direct
0.000 0.000 0.000
0.000 0.500 0.500
0.500 0.000 0.500
0.500 0.500 0.000
0.500 0.500 0.500

=====

*Q*
PBE CoSb2TeAs, optimized geometry; size of the total moment = 0.00 μB/cell
1.0
4.832 0.000 0.000
0.000 4.832 0.000
0.000 0.000 5.232
Co Sb Te As
1 2 1 1
direct
0.000 0.000 0.000
0.000 0.500 0.000
0.500 0.000 0.000
0.000 0.000 0.500
0.500 0.500 0.500

=====

Most stable = *Q*